Record 1
Density functional theory data (PBE) for a relaxed PmNiAs2 crystal.

The structure in POSCAR format:
```
PmNiAs2
1.0
-2.0234 2.0234 4.8532
2.0234 -2.0234 4.8532
2.0234 2.0234 -4.8532
Pm Ni As
1 1 2
Direct
0.0000 0.0000 0.0000
0.7500 0.2500 0.5000
0.3656 0.3656 0.0000
0.6344 0.6344 0.0000
```

Results
Total DFT energy (no corrections) = -5.8503 eV/atom
Symmetry = I-4m2, No. 119
Total magnetization = 0.0 μB per formula unit
Crystal system = tetragonal
ΔE to the lowest computed polymorph = 0 meV/atom
Formation enthalpy at 0 K = -0.893 eV/atom
Fermi-level density of states = 1.79 states/eV/f.u.

***

Record 2
Density functional theory data (PBE) for a relaxed PmNiAs2 crystal.

The structure in POSCAR format:
```
PmNiAs2
1.0
4.4110 0.0000 0.0000
0.0000 4.4110 0.0000
0.0000 0.0000 3.9457
Pm Ni As
1 1 2
Direct
0.0000 0.0000 0.0000
0.5000 0.5000 0.0000
0.0000 0.5000 0.5000
0.5000 0.0000 0.5000
```

Results
Total DFT energy (no corrections) = -5.4078 eV/atom
Symmetry = P4/mmm, No. 123
Total magnetization = 0.0 μB per formula unit
Crystal system = tetragonal
ΔE to the lowest computed polymorph = 442 meV/atom
Formation enthalpy at 0 K = -0.450 eV/atom
Fermi-level density of states = 2.55 states/eV/f.u.

***

Record 3
Density functional theory data (PBE) for a relaxed Pm3NiAs crystal.

The structure in POSCAR format:
```
Pm3NiAs
1.0
5.2464 0.0000 0.0000
0.0000 5.2464 0.0000
0.0000 0.0000 5.2464
Pm Ni As
3 1 1
Direct
0.0000 0.0000 0.5000
0.0000 0.5000 0.0000
0.5000 0.0000 0.0000
0.0000 0.0000 0.0000
0.5000 0.5000 0.5000
```

Results
Total DFT energy (no corrections) = -5.1829 eV/atom
Symmetry = Pm-3m, No. 221
Total magnetization = 0.0 μB per formula unit
Crystal system = cubic
Formation enthalpy at 0 K = -0.246 eV/atom
Fermi-level density of states = 5.64 states/eV/f.u.

***

Record 4
Density functional theory data (PBE) for a relaxed PmPrNi2As2 crystal.

The structure in POSCAR format:
```
PmPrNi2As2
1.0
4.1167 0.0000 0.0000
-2.0584 3.5652 0.0000
0.0000 0.0000 8.1269
Pm Pr Ni As
1 1 2 2
Direct
0.0000 0.0000 0.0000
0.0000 0.0000 0.5000
0.3333 0.6667 0.2478
0.6667 0.3333 0.7522
0.3333 0.6667 0.7548
0.6667 0.3333 0.2452
```

Results
Total DFT energy (no corrections) = -6.1028 eV/atom
Symmetry = P-3m1, No. 164
Total magnetization = 0.0 μB per formula unit
Crystal system = trigonal
Formation enthalpy at 0 K = -1.038 eV/atom
Fermi-level density of states = 2.90 states/eV/f.u.

***

Record 5
Density functional theory data (PBE) for a relaxed Pm2NiAs3Pt4 crystal.

The structure in POSCAR format:
```
Pm2NiAs3Pt4
1.0
4.3506 0.0000 0.0000
0.0000 4.3506 0.0000
0.0000 0.0000 10.0193
Pm Ni As Pt
2 1 3 4
Direct
0.0000 0.5000 0.2471
0.5000 0.0000 0.7529
0.5000 0.5000 0.0000
0.0000 0.0000 0.0000
0.0000 0.5000 0.6355
0.5000 0.0000 0.3645
0.0000 0.0000 0.5000
0.0000 0.5000 0.8783
0.5000 0.0000 0.1217
0.5000 0.5000 0.5000
```

Results
Total DFT energy (no corrections) = -6.1345 eV/atom
Symmetry = P-4m2, No. 115
Total magnetization = 0.0 μB per formula unit
Crystal system = tetragonal
Formation enthalpy at 0 K = -0.795 eV/atom
Fermi-level density of states = 7.26 states/eV/f.u.

***

Record 6
Density functional theory data (PBE) for a relaxed Pm2NiAs4Pt3 crystal.

The structure in POSCAR format:
```
Pm2NiAs4Pt3
1.0
4.3897 0.0000 0.0000
0.0000 4.3897 0.0000
0.0000 0.0000 9.9365
Pm Ni As Pt
2 1 4 3
Direct
0.0000 0.5000 0.2441
0.5000 0.0000 0.7559
0.5000 0.5000 0.0000
0.0000 0.0000 0.5000
0.0000 0.5000 0.8759
0.5000 0.0000 0.1241
0.5000 0.5000 0.5000
0.0000 0.0000 0.0000
0.0000 0.5000 0.6267
0.5000 0.0000 0.3733
```

Results
Total DFT energy (no corrections) = -6.0420 eV/atom
Symmetry = P-4m2, No. 115
Total magnetization = 0.0 μB per formula unit
Crystal system = tetragonal
Formation enthalpy at 0 K = -0.842 eV/atom
Fermi-level density of states = 2.58 states/eV/f.u.

***

Record 7
Density functional theory data (PBE) for a relaxed PmPuNiAs crystal.

The structure in POSCAR format:
```
PmPuNiAs
1.0
0.0000 3.5281 3.5281
3.5281 0.0000 3.5281
3.5281 3.5281 0.0000
Pm Pu Ni As
1 1 1 1
Direct
0.0000 0.0000 0.0000
0.5000 0.5000 0.5000
0.2500 0.2500 0.2500
0.7500 0.7500 0.7500
```

Results
Total DFT energy (no corrections) = -7.8587 eV/atom
Symmetry = F-43m, No. 216
Total magnetization = 6.0 μB per formula unit
Crystal system = cubic
Formation enthalpy at 0 K = -0.480 eV/atom
Fermi-level density of states = 10.64 states/eV/f.u.

***

Record 8
Density functional theory data (PBE) for a relaxed Pm3Ni2As4Rh2 crystal.

The structure in POSCAR format:
```
Pm3Ni2As4Rh2
1.0
4.1036 0.0000 0.0000
-2.0518 3.5538 0.0000
0.0000 0.0000 14.8258
Pm Ni As Rh
3 2 4 2
Direct
0.0000 0.0000 0.0000
0.0000 0.0000 0.2708
0.0000 0.0000 0.7292
0.3333 0.6667 0.1418
0.6667 0.3333 0.8582
0.3333 0.6667 0.3953
0.3333 0.6667 0.8664
0.6667 0.3333 0.1336
0.6667 0.3333 0.6047
0.3333 0.6667 0.5628
0.6667 0.3333 0.4372
```

Results
Total DFT energy (no corrections) = -6.3613 eV/atom
Symmetry = P-3m1, No. 164
Total magnetization = 0.0 μB per formula unit
Crystal system = trigonal
Formation enthalpy at 0 K = -0.987 eV/atom
Fermi-level density of states = 6.55 states/eV/f.u.